# 1
Entry from the Open Quantum Materials Database: a relaxed CsGdFeTe3 crystal (GGA-PBE).

## Properties
offset from the most stable computed form	0.0782	eV/atom
total magnetization	16.00	μB per cell

a b c (Å): 11.452 4.511 16.453
angles (deg): 90.00 90.00 90.00
Fractional coordinates of all 24 atoms:
Cs 0.034 0.250 0.165
Cs 0.466 0.750 0.665
Cs 0.534 0.250 0.335
Cs 0.966 0.750 0.835
Gd 0.152 0.750 0.435
Gd 0.348 0.250 0.935
Gd 0.652 0.750 0.065
Gd 0.848 0.250 0.565
Fe 0.153 0.250 0.626
Fe 0.347 0.750 0.126
Fe 0.653 0.250 0.874
Fe 0.847 0.750 0.374
Te 0.030 0.750 0.609
Te 0.193 0.750 0.008
Te 0.231 0.250 0.772
Te 0.269 0.750 0.272
Te 0.307 0.250 0.508
Te 0.470 0.250 0.109
Te 0.530 0.750 0.891
Te 0.693 0.750 0.492
Te 0.731 0.250 0.728
Te 0.769 0.750 0.228
Te 0.807 0.250 0.992
Te 0.970 0.250 0.391

***

# 2
Entry from the Open Quantum Materials Database: a relaxed HoErNi4 crystal (GGA-PBE).

## Properties
offset from the most stable computed form	0.4424	eV/atom
total magnetization	0.01	μB per cell

a b c (Å): 5.329 5.329 8.023
angles (deg): 90.00 90.00 120.00
Fractional coordinates of all 12 atoms:
Ho 0.333 0.667 0.000
Ho 0.667 0.333 0.000
Er 0.000 0.000 0.000
Er 0.000 0.000 0.500
Ni 0.000 0.500 0.272
Ni 0.000 0.500 0.728
Ni 0.333 0.667 0.500
Ni 0.500 0.000 0.272
Ni 0.500 0.000 0.728
Ni 0.500 0.500 0.272
Ni 0.500 0.500 0.728
Ni 0.667 0.333 0.500

***

# 3
Entry from the Open Quantum Materials Database: a relaxed NdCo crystal (GGA-PBE).

## Properties
total magnetization	0.00	μB per cell
total DFT energy (no corrections)	-10.13	eV per cell

a b c (Å): 4.236 4.236 4.236
angles (deg): 60.00 60.00 60.00
Fractional coordinates of all 2 atoms:
Nd 0.000 0.000 0.000
Co 0.250 0.250 0.250